Record 1
# Te3SeF

A relaxed structure of Te3SeF (PBE-GGA, Alexandria).

The structure in CIF format:
```
data_Te3SeF
_space_group_name_H-M_alt 'P m -3 m'
_space_group_IT_number 221
_space_group_name_Hall '-P 4 2 3'
_cell_length_a 5.3997
_cell_length_b 5.3997
_cell_length_c 5.3997
_cell_angle_alpha 90.00
_cell_angle_beta 90.00
_cell_angle_gamma 90.00
loop_
_atom_site_label
_atom_site_fract_x
_atom_site_fract_y
_atom_site_fract_z
Te1 0.0000 0.0000 0.5000
Se1 0.0000 0.0000 0.0000
F1 0.5000 0.5000 0.5000
```

Properties
Formation energy (no corrections) ... 2.16 eV per formula unit
Uncorrected energy ... -2.5245 eV per atom
Distance to the lowest polymorph of the same formula ... 82 meV/atom

=====

Record 2
# Te3SeF

A relaxed structure of Te3SeF (PBE-GGA, Alexandria).

The structure in CIF format:
```
data_Te3SeF
_space_group_name_H-M_alt 'P m -3 m'
_space_group_IT_number 221
_space_group_name_Hall '-P 4 2 3'
_cell_length_a 4.9650
_cell_length_b 4.9650
_cell_length_c 4.9650
_cell_angle_alpha 90.00
_cell_angle_beta 90.00
_cell_angle_gamma 90.00
loop_
_atom_site_label
_atom_site_fract_x
_atom_site_fract_y
_atom_site_fract_z
Te1 0.0000 0.0000 0.5000
Se1 0.5000 0.5000 0.5000
F1 0.0000 0.0000 0.0000
```

Properties
Formation energy (no corrections) ... 1.75 eV per formula unit
Uncorrected energy ... -2.6063 eV per atom
Distance to the lowest polymorph of the same formula ... 0 meV/atom

=====

Record 3
# TeSeF3

A relaxed structure of TeSeF3 (PBE-GGA, Alexandria).

The structure in CIF format:
```
data_TeSeF3
_space_group_name_H-M_alt 'P m -3 m'
_space_group_IT_number 221
_space_group_name_Hall '-P 4 2 3'
_cell_length_a 4.5041
_cell_length_b 4.5041
_cell_length_c 4.5041
_cell_angle_alpha 90.00
_cell_angle_beta 90.00
_cell_angle_gamma 90.00
loop_
_atom_site_label
_atom_site_fract_x
_atom_site_fract_y
_atom_site_fract_z
Te1 0.0000 0.0000 0.0000
Se1 0.5000 0.5000 0.5000
F1 0.0000 0.0000 0.5000
```

Properties
Formation energy (no corrections) ... -3.97 eV per formula unit
Uncorrected energy ... -3.2420 eV per atom
Distance to the lowest polymorph of the same formula ... 0 meV/atom

=====

Record 4
# TeSeF3

A relaxed structure of TeSeF3 (PBE-GGA, Alexandria).

The structure in CIF format:
```
data_TeSeF3
_space_group_name_H-M_alt 'P m -3 m'
_space_group_IT_number 221
_space_group_name_Hall '-P 4 2 3'
_cell_length_a 4.4984
_cell_length_b 4.4984
_cell_length_c 4.4984
_cell_angle_alpha 90.00
_cell_angle_beta 90.00
_cell_angle_gamma 90.00
loop_
_atom_site_label
_atom_site_fract_x
_atom_site_fract_y
_atom_site_fract_z
Te1 0.0000 0.0000 0.0000
Se1 0.5000 0.5000 0.5000
F1 0.0000 0.5000 0.5000
```

Properties
Formation energy (no corrections) ... -2.34 eV per formula unit
Uncorrected energy ... -2.9168 eV per atom
Distance to the lowest polymorph of the same formula ... 325 meV/atom

=====

Record 5
# TiTeSeF2

A relaxed structure of TiTeSeF2 (PBE-GGA, Alexandria).

The structure in CIF format:
```
data_TiTeSeF2
_space_group_name_H-M_alt 'P 4/m m m'
_space_group_IT_number 123
_space_group_name_Hall '-P 4 2'
_cell_length_a 4.2392
_cell_length_b 4.2392
_cell_length_c 6.0083
_cell_angle_alpha 90.00
_cell_angle_beta 90.00
_cell_angle_gamma 90.00
loop_
_atom_site_label
_atom_site_fract_x
_atom_site_fract_y
_atom_site_fract_z
Ti1 0.0000 0.0000 0.0000
Te1 0.5000 0.5000 0.0000
Se1 0.5000 0.5000 0.5000
F1 0.0000 0.5000 0.5000
```

Properties
Formation energy (no corrections) ... -2.65 eV per formula unit
Uncorrected energy ... -4.1830 eV per atom

=====

Record 6
# ZnTeSeF2

A relaxed structure of ZnTeSeF2 (PBE-GGA, Alexandria).

The structure in CIF format:
```
data_ZnTeSeF2
_space_group_name_H-M_alt 'P 4/m m m'
_space_group_IT_number 123
_space_group_name_Hall '-P 4 2'
_cell_length_a 4.4147
_cell_length_b 4.4147
_cell_length_c 5.6929
_cell_angle_alpha 90.00
_cell_angle_beta 90.00
_cell_angle_gamma 90.00
loop_
_atom_site_label
_atom_site_fract_x
_atom_site_fract_y
_atom_site_fract_z
Zn1 0.0000 0.0000 0.0000
Te1 0.5000 0.5000 0.5000
Se1 0.5000 0.5000 0.0000
F1 0.0000 0.5000 0.5000
```

Properties
Formation energy (no corrections) ... -3.69 eV per formula unit
Uncorrected energy ... -3.0670 eV per atom

=====

Record 7
# TiSeF3

A relaxed structure of TiSeF3 (PBE-GGA, Alexandria).

The structure in CIF format:
```
data_TiSeF3
_space_group_name_H-M_alt 'P m -3 m'
_space_group_IT_number 221
_space_group_name_Hall '-P 4 2 3'
_cell_length_a 4.0979
_cell_length_b 4.0979
_cell_length_c 4.0979
_cell_angle_alpha 90.00
_cell_angle_beta 90.00
_cell_angle_gamma 90.00
loop_
_atom_site_label
_atom_site_fract_x
_atom_site_fract_y
_atom_site_fract_z
Ti1 0.0000 0.0000 0.0000
Se1 0.5000 0.5000 0.5000
F1 0.0000 0.0000 0.5000
```

Properties
Formation energy (no corrections) ... -9.18 eV per formula unit
Uncorrected energy ... -5.2343 eV per atom
Distance to the lowest polymorph of the same formula ... 737 meV/atom

=====

Record 8
# Ti2SeF

A relaxed structure of Ti2SeF (PBE-GGA, Alexandria).

The structure in CIF format:
```
data_Ti2SeF
_space_group_name_H-M_alt 'I -4 2 d'
_space_group_IT_number 122
_space_group_name_Hall 'I -4 2bw'
_cell_length_a 4.5624
_cell_length_b 4.5624
_cell_length_c 13.4363
_cell_angle_alpha 90.00
_cell_angle_beta 90.00
_cell_angle_gamma 90.00
loop_
_atom_site_label
_atom_site_fract_x
_atom_site_fract_y
_atom_site_fract_z
Ti1 0.1522 0.2500 0.1250
Se1 0.0000 0.0000 0.5000
F1 0.0000 0.0000 0.0000
```

Properties
Formation energy (no corrections) ... -4.03 eV per formula unit
Uncorrected energy ... -6.2950 eV per atom
Distance to the lowest polymorph of the same formula ... 124 meV/atom

=====

Number 1: DOS(E_F) 6.58 states/eV per cell. Number 2: DOS(E_F) 6.60 states/eV per cell. Number 3: DOS(E_F) 2.21 states/eV per cell. Number 4: DOS(E_F) 2.82 states/eV per cell. Number 5: DOS(E_F) 3.21 states/eV per cell. Number 6: DOS(E_F) 2.52 states/eV per cell. Number 7: DOS(E_F) 12.96 states/eV per cell. Number 8: DOS(E_F) 15.02 states/eV per cell.